1.
Entry from Alexandria: a relaxed Pm2DyTh3Te6 crystal (PBE).

DOS(E_F), states/eV per atom: 0.83
Raw formation energy, kJ/mol of atoms: -113
M_tot, μB per formula unit: 0.000

Cell lengths 4.3381, 9.1297, 10.1915 Å; angles 108.73, 102.29, 90.00 degrees
Last column: nearest neighbours and their distance in Å.
Atoms (fractional coordinates):
Pm 0.8329 0.6652 0.6659  6 Te 3.12-3.15
Pm 0.1671 0.3348 0.3341  6 Te 3.12-3.15
Dy 0.5000 0.0000 0.0000  6 Te 3.06-3.09
Th 0.5000 0.5000 0.0000  6 Te 3.18-3.21
Th 0.8306 0.1637 0.6613  6 Te 3.17-3.21
Th 0.1694 0.8363 0.3387  6 Te 3.17-3.21
Te 0.3379 0.9151 0.6758  1 Dy 3.06, 2 Pm 3.13, 3 Th 3.18-3.19
Te 0.6678 0.5814 0.3355  3 Pm 3.12, 3 Th 3.17-3.18
Te 0.6621 0.0849 0.3242  1 Dy 3.06, 2 Pm 3.13, 3 Th 3.18-3.19
Te 0.9998 0.2408 0.9997  2 Dy 3.09, 1 Pm 3.15, 3 Th 3.21
Te 0.0002 0.7592 0.0003  2 Dy 3.09, 1 Pm 3.15, 3 Th 3.21
Te 0.3322 0.4186 0.6645  3 Pm 3.12, 3 Th 3.17-3.18

=====

2.
Entry from Alexandria: a relaxed Pm3DyTl4Te8 crystal (PBE).

Raw formation energy, kJ/mol of atoms: -103
M_tot, μB per formula unit: 0.000

Cell lengths 9.0421, 9.7049, 9.0427 Å; angles 117.77, 120.00, 90.00 degrees
Last column: nearest neighbours and their distance in Å.
Atoms (fractional coordinates):
Pm 0.5000 0.5000 0.0000  6 Te 3.17
Pm 0.5000 0.5000 0.5000  6 Te 3.17
Pm 0.0000 0.5000 0.5000  6 Te 3.17
Dy 0.0000 0.5000 0.0000  6 Te 3.12
Tl 0.5000 0.0000 0.0000  6 Te 3.52
Tl 0.5000 0.0000 0.5000  6 Te 3.47
Tl 0.0000 0.0000 0.0000  6 Te 3.47
Tl 0.0000 0.0000 0.5000  6 Te 3.47
Te 0.2362 0.7168 0.9806  1 Dy 3.12, 2 Pm 3.17, 2 Tl 3.47
Te 0.2362 0.7168 0.4724  1 Dy 3.12, 2 Pm 3.17, 2 Tl 3.47
Te 0.2600 0.2801 0.5200  3 Pm 3.17, 3 Tl 3.47
Te 0.7444 0.7168 0.9806  1 Dy 3.12, 2 Pm 3.17, 2 Tl 3.47
Te 0.2556 0.2832 0.0194  1 Dy 3.12, 2 Pm 3.17, 2 Tl 3.47
Te 0.7400 0.7199 0.4800  3 Pm 3.17, 3 Tl 3.47
Te 0.7638 0.2832 0.5276  1 Dy 3.12, 2 Pm 3.17, 2 Tl 3.47
Te 0.7638 0.2832 0.0194  1 Dy 3.12, 2 Pm 3.17, 2 Tl 3.47

=====

3.
Entry from Alexandria: a relaxed PmDy3Tl4Te8 crystal (PBE).

Raw formation energy, kJ/mol of atoms: -102
M_tot, μB per formula unit: 0.000

Cell lengths 8.9500, 9.6798, 8.9500 Å; angles 117.54, 120.00, 90.00 degrees
Last column: nearest neighbours and their distance in Å.
Atoms (fractional coordinates):
Pm 0.0000 0.5000 0.0000  6 Te 3.16
Dy 0.5000 0.5000 0.0000  6 Te 3.11
Dy 0.5000 0.5000 0.5000  6 Te 3.11
Dy 0.0000 0.5000 0.5000  6 Te 3.11
Tl 0.5000 0.0000 0.0000  6 Te 3.45
Tl 0.5000 0.0000 0.5000  6 Te 3.50
Tl 0.0000 0.0000 0.0000  6 Te 3.50
Tl 0.0000 0.0000 0.5000  6 Te 3.50
Te 0.2411 0.7152 0.9742  2 Dy 3.11, 1 Pm 3.16, 1 Tl 3.45
Te 0.2411 0.7152 0.4823  2 Dy 3.11, 1 Pm 3.16, 1 Tl 3.45
Te 0.2625 0.2877 0.5251  3 Dy 3.11
Te 0.7330 0.7152 0.9742  2 Dy 3.11, 1 Pm 3.16, 1 Tl 3.45
Te 0.2670 0.2848 0.0258  2 Dy 3.11, 1 Pm 3.16, 1 Tl 3.45
Te 0.7375 0.7123 0.4749  3 Dy 3.11
Te 0.7589 0.2848 0.5177  2 Dy 3.11, 1 Pm 3.16, 1 Tl 3.45
Te 0.7589 0.2848 0.0258  2 Dy 3.11, 1 Pm 3.16, 1 Tl 3.45

=====

raw formation energy of number 1 (Pm2DyTh3Te6)? -113 kJ/mol of atoms